SrCuBPd2: relaxed, PBE.

The volume is 83.19 Å³/f.u. The calculated total energy comes out at -4.81 eV/atom. Its space group is P4/mmm. The value obtained for the energy relative to the elements is -0.2436 eV per atom.

```
data_SrCuBPd2
_cell_length_a 4.405
_cell_length_b 4.405
_cell_length_c 4.288
_cell_angle_alpha 90.00
_cell_angle_beta 90.00
_cell_angle_gamma 90.00
_space_group_name_H-M_alt 'P 1'
_space_group_IT_number 1
_space_group_name_Hall 'P 1'
loop_
_atom_site_label
_atom_site_type_symbol
_atom_site_fract_x
_atom_site_fract_y
_atom_site_fract_z
_atom_site_occupancy
Sr1 Sr 0.000 0.000 0.000 1
Cu1 Cu 0.500 0.500 0.000 1
B1 B 0.500 0.500 0.500 1
Pd1 Pd 0.000 0.500 0.500 1
Pd2 Pd 0.500 0.000 0.500 1
```